[1]
First-principles (PBE) data for a relaxed CsFe2CoAu crystal, as listed in Alexandria via LeMat-Bulk.

Computed properties:
As for the space group: P4/mmm. The total magnetization is 6.06 μB/f.u. The value obtained for the formation energy is 1167.3 kJ/mol of formula units.

a = 4.784 Å, b = 4.688 Å, c = 4.784 Å
α = 90.00°, β = 90.00°, γ = 90.00°
Element x y z (fractional)
Fe 0.000 0.000 0.500
Fe 0.500 0.000 0.000
Cs 0.000 0.000 0.000
Co 0.000 0.500 0.000
Au 0.500 0.500 0.500


[2]
First-principles (PBE) data for a relaxed Cs2CoAuI6 crystal, as listed in Alexandria via LeMat-Bulk.

Computed properties:
As for the space group: I4/mmm. The total magnetization is 2.00 μB/f.u. The formation energy (no corrections) is -622 meV/atom.

a = 8.417 Å, b = 8.417 Å, c = 8.603 Å
α = 60.71°, β = 60.71°, γ = 90.00°
Element x y z (fractional)
Co 0.500 0.500 0.000
I 0.285 0.715 0.000
I 0.285 0.285 0.000
I 0.789 0.789 0.422
I 0.211 0.211 0.578
I 0.715 0.285 0.000
I 0.715 0.715 0.000
Au 0.000 0.000 0.000
Cs 0.250 0.750 0.500
Cs 0.750 0.250 0.500


[3]
First-principles (PBE) data for a relaxed CsLa2CoAu crystal, as listed in Alexandria via LeMat-Bulk.

Computed properties:
As for the space group: P4/mmm. The total magnetization is 0.00 μB/f.u. The value obtained for the formation energy is 13.2 kJ/mol of formula units.

a = 5.278 Å, b = 5.437 Å, c = 5.278 Å
α = 90.00°, β = 90.00°, γ = 90.00°
Element x y z (fractional)
Co 0.000 0.000 0.000
La 0.000 0.000 0.500
La 0.500 0.000 0.000
Au 0.000 0.500 0.000
Cs 0.500 0.500 0.500


Number 1: volume 21.5 Å³/atom, E -3.21 eV/atom. Number 2: volume 44.0 Å³/atom, E -2.76 eV/atom. Number 3: volume 30.3 Å³/atom, E -4.19 eV/atom.